[1]
VASP calculation (PBE) on an optimized crystal structure of ZrPbSe.

Crystal system: cubic
Formation energy without anion corrections: -0.067 eV/atom
Magnetic moment: 0.000 μB per cell
Energy above the most stable polymorph in this dataset: 621.0 meV per atom
Calculated volume: 27.157 Å³/atom

Unit cell a=4.8660 b=4.8660 c=4.8660 alpha=60.00 beta=60.00 gamma=60.00
Fractional coordinates of all 3 atoms:
Pb 0.0000 0.0000 0.0000
Se 0.5000 0.5000 0.5000
Zr 0.7500 0.7500 0.7500



[2]
VASP calculation (PBE) on an optimized crystal structure of TlHgW2.

Crystal system: tetragonal
Energy of formation from the pure elements: 4.54 eV per formula unit
Magnetic moment: 0.196 μB per cell
Energy above the most stable polymorph in this dataset: 539.1 meV per atom
Calculated volume: 18.858 Å³/atom

Unit cell a=5.4440 b=5.4440 c=5.4440 alpha=136.52 beta=136.52 gamma=63.18
Each line ends with the local moment (μB).
Fractional coordinates of all 4 atoms:
Hg 0.2500 0.7500 0.5000  0.00
Tl 0.7500 0.2500 0.5000  0.00
W 0.0000 0.0000 0.0000  0.08
W 0.5000 0.5000 0.0000  0.08



[3]
VASP calculation (PBE) on an optimized crystal structure of LiV2Cl.

Crystal system: tetragonal
Formation energy without anion corrections: 0.630 eV/atom
Magnetic moment: 0.000 μB per cell
Energy above the most stable polymorph in this dataset: 0.0 meV per atom
Calculated volume: 18.457 Å³/atom

Unit cell a=4.0557 b=4.0557 c=9.4237 alpha=77.57 beta=77.57 gamma=90.00
Fractional coordinates of all 8 atoms:
V 0.8488 0.1250 0.2500
V 0.9012 0.6250 0.2500
V 0.3750 0.1512 0.7500
V 0.8750 0.0988 0.7500
Li 0.5000 0.5000 0.0000
Li 0.2500 0.7500 0.5000
Cl 0.0000 0.0000 0.0000
Cl 0.7500 0.2500 0.5000



[4]
VASP calculation (PBE) on an optimized crystal structure of TbPmAlGa.

Crystal system: orthorhombic
Energy of formation from the pure elements: -1.97 eV per formula unit
Magnetic moment: 0.001 μB per cell
Energy above the most stable polymorph in this dataset: 0.0 meV per atom
Calculated volume: 25.852 Å³/atom

Unit cell a=4.4591 b=4.1389 c=6.0304 alpha=90.00 beta=111.70 gamma=90.00
Fractional coordinates of all 4 atoms:
Tb 0.1414 0.0000 0.2827
Pm 0.8598 0.5000 0.7195
Al 0.5715 0.5000 0.1430
Ga 0.4273 0.0000 0.8547



[5]
VASP calculation (PBE) on an optimized crystal structure of NaSn4Bi.

Crystal system: cubic
Energy of formation from the pure elements: 0.18 eV per formula unit
Magnetic moment: 0.000 μB per cell
Energy above the most stable polymorph in this dataset: 58.0 meV per atom
Calculated volume: 29.695 Å³/atom

Unit cell a=6.3161 b=6.3161 c=6.3161 alpha=60.00 beta=60.00 gamma=60.00
Fractional coordinates of all 6 atoms:
Na 0.2500 0.2500 0.2500
Bi 0.0000 0.0000 0.0000
Sn 0.6252 0.6252 0.1245
Sn 0.6252 0.1245 0.6252
Sn 0.6252 0.6252 0.6252
Sn 0.1245 0.6252 0.6252



[6]
VASP calculation (PBE) on an optimized crystal structure of NaTmPb2.

Crystal system: orthorhombic
Energy of formation from the pure elements: -1.13 eV per formula unit
Magnetic moment: 0.000 μB per cell
Calculated volume: 27.694 Å³/atom

Unit cell a=3.5650 b=5.5878 c=5.5878 alpha=95.61 beta=90.00 gamma=90.00
Fractional coordinates of all 4 atoms:
Na 0.5000 0.5000 0.5000
Tm 0.5000 0.0000 0.0000
Pb 0.0000 0.5000 0.0000
Pb 0.0000 0.0000 0.5000



[7]
VASP calculation (PBE) on an optimized crystal structure of Mo2OsRh.

Crystal system: cubic
Energy of formation from the pure elements: 1.09 eV per formula unit
Magnetic moment: 0.008 μB per cell
Energy above the most stable polymorph in this dataset: 346.6 meV per atom
Calculated volume: 15.226 Å³/atom

Unit cell a=4.4162 b=4.4162 c=4.4162 alpha=60.00 beta=60.00 gamma=60.00
Fractional coordinates of all 4 atoms:
Mo 0.0000 0.0000 0.0000
Mo 0.2500 0.2500 0.2500
Os 0.5000 0.5000 0.5000
Rh 0.7500 0.7500 0.7500



[8]
VASP calculation (PBE) on an optimized crystal structure of KNa2S.

Crystal system: trigonal
Formation energy without anion corrections: -0.669 eV/atom
Magnetic moment: 0.000 μB per cell
Calculated volume: 36.917 Å³/atom

Unit cell a=4.5825 b=4.5825 c=8.5400 alpha=74.44 beta=74.44 gamma=60.00
Fractional coordinates of all 4 atoms:
K 0.5160 0.5160 0.4520
Na 0.0350 0.0350 0.8949
Na 0.2937 0.2937 0.1188
S 0.6552 0.6552 0.0343



[9]
VASP calculation (PBE) on an optimized crystal structure of PtOF3.

Crystal system: monoclinic
Formation energy without anion corrections: -0.749 eV/atom
Magnetic moment: 9.034 μB per cell
Energy above the most stable polymorph in this dataset: 0.0 meV per atom
Calculated volume: 16.648 Å³/atom

Unit cell a=6.9344 b=5.7796 c=8.4441 alpha=100.32 beta=90.00 gamma=90.00
Each line ends with the local moment (μB).
Fractional coordinates of all 20 atoms:
Pt 0.7500 0.5141 0.5048  0.80
Pt 0.2500 0.4859 0.4952  0.80
Pt 0.2500 0.9859 0.9952  0.80
Pt 0.7500 0.0141 0.0048  0.80
O 0.7500 0.3216 0.0931  0.95
O 0.2500 0.6784 0.9069  0.95
O 0.2500 0.1784 0.4069  0.95
O 0.7500 0.8216 0.5931  0.95
F 0.7500 0.1859 0.4105  0.15
F 0.2500 0.8141 0.5895  0.15
F 0.2500 0.3141 0.0895  0.15
F 0.7500 0.6859 0.9105  0.15
F 0.4998 0.5522 0.3674  0.05
F 0.5002 0.4478 0.6326  0.05
F 0.9998 0.9478 0.1326  0.05
F 0.0002 0.0522 0.8674  0.05
F 0.9991 0.5524 0.3674  0.05
F 0.0009 0.4476 0.6326  0.05
F 0.4991 0.9476 0.1326  0.05
F 0.5009 0.0524 0.8674  0.05



[10]
VASP calculation (PBE) on an optimized crystal structure of TaPt2Se.

Crystal system: monoclinic
Formation energy without anion corrections: -0.216 eV/atom
Magnetic moment: 0.000 μB per cell
Calculated volume: 16.982 Å³/atom

Unit cell a=5.1056 b=5.1056 c=4.4632 alpha=86.28 beta=86.28 gamma=35.82
Fractional coordinates of all 4 atoms:
Pt 0.9782 0.9782 0.0107
Pt 0.5218 0.5218 0.4893
Se 0.7500 0.7500 0.7500
Ta 0.2500 0.2500 0.2500



[11]
VASP calculation (PBE) on an optimized crystal structure of Ho2Tl3Zn.

Crystal system: orthorhombic
Energy of formation from the pure elements: -0.94 eV per formula unit
Magnetic moment: 0.000 μB per cell
Calculated volume: 26.061 Å³/atom

Unit cell a=6.5094 b=6.5047 c=8.7019 alpha=111.95 beta=111.96 gamma=90.00
Fractional coordinates of all 12 atoms:
Ho 0.4043 0.1510 0.3019
Ho 0.5957 0.8490 0.6981
Ho 0.1024 0.3490 0.6981
Ho 0.8976 0.6510 0.3019
Tl 0.3670 0.6409 0.2819
Tl 0.6330 0.3591 0.7181
Tl 0.0851 0.8591 0.7181
Tl 0.9149 0.1409 0.2819
Tl 0.5000 0.7500 0.0000
Tl 0.5000 0.2500 0.0000
Zn 0.0000 0.2500 0.0000
Zn 0.0000 0.7500 0.0000



[12]
VASP calculation (PBE) on an optimized crystal structure of SrTbHg.

Crystal system: tetragonal
Energy of formation from the pure elements: -0.82 eV per formula unit
Magnetic moment: 0.001 μB per cell
Energy above the most stable polymorph in this dataset: 0.0 meV per atom
Calculated volume: 33.768 Å³/atom

Unit cell a=3.8734 b=3.8734 c=7.2867 alpha=105.41 beta=105.41 gamma=90.00
Fractional coordinates of all 3 atoms:
Sr 0.0192 0.0192 0.0384
Tb 0.2957 0.2957 0.5914
Hg 0.6851 0.6851 0.3702



[13]
VASP calculation (PBE) on an optimized crystal structure of BeAlIrAu.

Crystal system: cubic
Energy of formation from the pure elements: -1.52 eV per formula unit
Magnetic moment: 0.000 μB per cell
Calculated volume: 13.629 Å³/atom

Unit cell a=4.2561 b=4.2561 c=4.2561 alpha=60.00 beta=60.00 gamma=60.00
Fractional coordinates of all 4 atoms:
Be 0.2500 0.2500 0.2500
Ir 0.5000 0.5000 0.5000
Au 0.0000 0.0000 0.0000
Al 0.7500 0.7500 0.7500



[14]
VASP calculation (PBE) on an optimized crystal structure of Dy3ErBi2.

Crystal system: monoclinic
Energy of formation from the pure elements: -2.77 eV per formula unit
Magnetic moment: 0.001 μB per cell
Energy above the most stable polymorph in this dataset: 126.4 meV per atom
Calculated volume: 30.328 Å³/atom

Unit cell a=4.2993 b=10.7436 c=10.0311 alpha=125.85 beta=90.00 gamma=101.54
Fractional coordinates of all 12 atoms:
Dy 0.3122 0.6244 0.5159
Dy 0.9448 0.8896 0.5588
Dy 0.6409 0.2818 0.8031
Dy 0.3591 0.7182 0.1969
Dy 0.0552 0.1104 0.4412
Dy 0.6878 0.3756 0.4841
Er 0.8903 0.7807 0.8853
Er 0.1097 0.2193 0.1147
Bi 0.4936 0.9871 0.8285
Bi 0.5064 0.0129 0.1715
Bi 0.7471 0.4943 0.2137
Bi 0.2529 0.5057 0.7863



[15]
VASP calculation (PBE) on an optimized crystal structure of MgAgMo2.

Crystal system: tetragonal
Energy of formation from the pure elements: 1.85 eV per formula unit
Magnetic moment: 0.000 μB per cell
Calculated volume: 16.681 Å³/atom

Unit cell a=4.8089 b=4.8089 c=4.8089 alpha=128.21 beta=128.21 gamma=76.28
Fractional coordinates of all 4 atoms:
Ag 0.5000 0.5000 0.0000
Mg 0.7500 0.2500 0.5000
Mo 0.0000 0.0000 0.0000
Mo 0.2500 0.7500 0.5000



[16]
VASP calculation (PBE) on an optimized crystal structure of Pr4InRu.

Crystal system: monoclinic
Energy of formation from the pure elements: -1.58 eV per formula unit
Magnetic moment: 0.000 μB per cell
Energy above the most stable polymorph in this dataset: 49.5 meV per atom
Calculated volume: 30.806 Å³/atom

Unit cell a=6.4111 b=9.3916 c=8.0688 alpha=115.14 beta=99.61 gamma=113.31
Fractional coordinates of all 12 atoms:
Pr 0.1008 0.2035 0.8357
Pr 0.7677 0.7217 0.6671
Pr 0.2349 0.6322 0.8357
Pr 0.3993 0.9454 0.6671
Pr 0.6007 0.0546 0.3329
Pr 0.7651 0.3678 0.1643
Pr 0.2323 0.2783 0.3329
Pr 0.8992 0.7965 0.1643
In 0.3720 0.6220 0.2440
In 0.6280 0.3780 0.7560
Ru 0.2500 0.0000 0.0000
Ru 0.7500 0.0000 0.0000



[17]
VASP calculation (PBE) on an optimized crystal structure of BaNbTc2Ru.

Crystal system: tetragonal
Energy of formation from the pure elements: 5.91 eV per formula unit
Magnetic moment: 3.420 μB per cell
Calculated volume: 23.909 Å³/atom

Unit cell a=4.9276 b=4.9233 c=4.9276 alpha=90.00 beta=90.00 gamma=90.00
Each line ends with the local moment (μB).
Fractional coordinates of all 5 atoms:
Ru 0.0000 0.5000 0.0000  0.44
Nb 0.0000 0.0000 0.0000  -0.24
Ba 0.5000 0.5000 0.5000  0.03
Tc 0.0000 0.0000 0.5000  1.45
Tc 0.5000 0.0000 0.0000  1.36



[18]
VASP calculation (PBE) on an optimized crystal structure of La2ZnAgO5.

Crystal system: tetragonal
Formation energy without anion corrections: -1.993 eV/atom
Magnetic moment: 2.067 μB per cell
Calculated volume: 15.384 Å³/atom

Unit cell a=5.7743 b=6.9250 c=6.9250 alpha=90.00 beta=90.00 gamma=90.00
Each line ends with the local moment (μB).
Fractional coordinates of all 18 atoms:
La 0.5000 0.6787 0.1787  0.02
La 0.5000 0.1787 0.3213  0.02
La 0.5000 0.8213 0.6787  0.02
La 0.5000 0.3213 0.8213  0.02
Zn 0.0000 0.0000 0.5000  0.14
Zn 0.0000 0.5000 0.0000  0.14
Ag 0.0000 0.5000 0.5000  0.01
Ag 0.0000 0.0000 0.0000  0.01
O 0.5000 0.5000 0.5000  0.06
O 0.5000 0.0000 0.0000  0.06
O 0.2460 0.1331 0.6331  0.18
O 0.2460 0.8669 0.3669  0.18
O 0.2460 0.3669 0.1331  0.18
O 0.2460 0.6331 0.8669  0.18
O 0.7540 0.1331 0.6331  0.18
O 0.7540 0.6331 0.8669  0.18
O 0.7540 0.8669 0.3669  0.18
O 0.7540 0.3669 0.1331  0.18



[19]
VASP calculation (PBE) on an optimized crystal structure of U5Cr3P12.

Crystal system: cubic
Energy of formation from the pure elements: 0.46 eV per formula unit
Magnetic moment: 68.781 μB per cell
Calculated volume: 20.907 Å³/atom

Unit cell a=12.9519 b=12.9519 c=12.9519 alpha=109.47 beta=109.47 gamma=109.47
Each line ends with the local moment (μB).
Fractional coordinates of all 80 atoms:
Cr 0.7500 0.3750 0.1250  2.44
Cr 0.8750 0.7500 0.1250  2.44
Cr 0.3750 0.7500 0.6250  2.44
Cr 0.2500 0.1250 0.3750  2.44
Cr 0.8750 0.1250 0.2500  2.44
Cr 0.3750 0.6250 0.2500  2.44
Cr 0.6250 0.3750 0.7500  2.44
Cr 0.1250 0.8750 0.7500  2.44
Cr 0.7500 0.8750 0.6250  2.44
Cr 0.6250 0.2500 0.3750  2.44
Cr 0.1250 0.2500 0.8750  2.44
Cr 0.2500 0.6250 0.8750  2.44
U 0.1250 0.3750 0.2500  1.91
U 0.0000 0.5000 0.0000  1.79
U 0.0000 0.0000 0.0000  1.79
U 0.3750 0.2500 0.1250  1.91
U 0.5000 0.0000 0.5000  1.79
U 0.5000 0.5000 0.0000  1.79
U 0.1250 0.7500 0.3750  1.91
U 0.7500 0.1250 0.8750  1.91
U 0.7500 0.6250 0.3750  1.91
U 0.3750 0.1250 0.7500  1.91
U 0.6250 0.8750 0.2500  1.91
U 0.5000 0.5000 0.5000  1.79
U 0.5000 0.0000 0.0000  1.79
U 0.0000 0.0000 0.5000  1.79
U 0.2500 0.3750 0.6250  1.91
U 0.2500 0.8750 0.1250  1.91
U 0.0000 0.5000 0.5000  1.79
U 0.8750 0.2500 0.6250  1.91
U 0.6250 0.7500 0.8750  1.91
U 0.8750 0.6250 0.7500  1.91
P 0.7536 0.1484 0.0833  -0.08
P 0.3297 0.5833 0.4350  -0.08
P 0.9167 0.3516 0.2464  -0.08
P 0.5833 0.2536 0.1484  -0.08
P 0.6052 0.7536 0.6703  -0.08
P 0.9167 0.5651 0.1703  -0.08
P 0.3297 0.7464 0.3948  -0.08
P 0.0650 0.8948 0.1484  -0.08
P 0.5651 0.9167 0.6703  -0.08
P 0.7536 0.6052 0.1703  -0.08
P 0.7464 0.4167 0.3516  -0.08
P 0.8297 0.9350 0.0833  -0.08
P 0.1484 0.7536 0.5833  -0.08
P 0.3516 0.4350 0.1052  -0.08
P 0.1052 0.9350 0.3516  -0.08
P 0.3948 0.1484 0.5651  -0.08
P 0.1052 0.1703 0.2536  -0.08
P 0.4167 0.6703 0.0650  -0.08
P 0.8297 0.8948 0.2464  -0.08
P 0.1484 0.3948 0.0650  -0.08
P 0.3516 0.9167 0.7464  -0.08
P 0.5651 0.6484 0.3948  -0.08
P 0.9350 0.8297 0.5833  -0.08
P 0.7464 0.3297 0.8948  -0.08
P 0.4350 0.3516 0.6052  -0.08
P 0.0650 0.1703 0.4167  -0.08
P 0.2536 0.6703 0.1052  -0.08
P 0.1703 0.1052 0.7536  -0.08
P 0.6484 0.0833 0.2536  -0.08
P 0.8516 0.6052 0.9350  -0.08
P 0.5833 0.3297 0.9350  -0.08
P 0.6052 0.8516 0.4350  -0.08
P 0.8948 0.8297 0.7464  -0.08
P 0.8948 0.0650 0.6484  -0.08
P 0.8516 0.2464 0.4167  -0.08
P 0.1703 0.0650 0.9167  -0.08
P 0.6484 0.5651 0.8948  -0.08
P 0.4350 0.0833 0.3297  -0.08
P 0.2464 0.3948 0.8297  -0.08
P 0.2536 0.5833 0.6484  -0.08
P 0.9350 0.1052 0.8516  -0.08
P 0.6703 0.2536 0.6052  -0.08
P 0.4167 0.7464 0.8516  -0.08
P 0.0833 0.4350 0.8297  -0.08
P 0.3948 0.2464 0.3297  -0.08
P 0.0833 0.6484 0.7536  -0.08
P 0.6703 0.4167 0.5651  -0.08
P 0.2464 0.8516 0.9167  -0.08



[20]
VASP calculation (PBE) on an optimized crystal structure of CeDy5Sb5.

Crystal system: monoclinic
Formation energy without anion corrections: -0.918 eV/atom
Magnetic moment: 0.814 μB per cell
Calculated volume: 31.892 Å³/atom

Unit cell a=6.1819 b=7.5302 c=8.7037 alpha=106.62 beta=90.00 gamma=114.23
Each line ends with the local moment (μB).
Fractional coordinates of all 11 atoms:
Ce 0.0000 0.0000 0.0000  0.68
Dy 0.6639 0.3279 0.3349  0.01
Dy 0.6665 0.3329 0.8325  0.01
Dy 0.0000 0.0000 0.5000  0.01
Dy 0.3335 0.6671 0.1675  0.01
Dy 0.3361 0.6721 0.6651  0.01
Sb 0.8301 0.6603 0.1706  -0.01
Sb 0.8319 0.6638 0.6615  -0.01
Sb 0.5000 0.0000 0.0000  -0.01
Sb 0.1681 0.3362 0.3385  -0.01
Sb 0.1699 0.3397 0.8294  -0.01



[21]
VASP calculation (PBE) on an optimized crystal structure of LaMg2Al.

Crystal system: tetragonal
Energy of formation from the pure elements: -0.18 eV per formula unit
Magnetic moment: 0.003 μB per cell
Calculated volume: 25.022 Å³/atom

Unit cell a=3.4626 b=3.4626 c=8.3479 alpha=90.00 beta=90.00 gamma=90.01
Fractional coordinates of all 4 atoms:
Al 0.5000 0.5000 0.2500
La 0.5000 0.5000 0.7500
Mg 0.0000 0.0000 0.0499
Mg 0.0000 0.0000 0.4501